# 1
Here is a crystal of AlGa2Cl relaxed with PBEsol from Alexandria. Energies are from SCAN.

Cell: 4.7704 4.7704 4.7704 Å, 60.00 60.00 60.00°
Last column: nearest neighbours and their distance in Å.
Atoms (fractional coordinates):
Al 0.0000 0.0000 0.0000  8 Ga 2.92
Ga 0.2500 0.2500 0.2500  4 Cl 2.92, 4 Al 2.92
Ga 0.7500 0.7500 0.7500  4 Cl 2.92, 4 Al 2.92
Cl 0.5000 0.5000 0.5000  8 Ga 2.92

* Fermi-level density of states: 0.62 states/eV/atom
* V: 77 Å³ per cell
* formation energy from raw total energies: 0.201 eV per atom

=====

# 2
Here is a crystal of AlGaSCl2 relaxed with PBEsol from Alexandria. Energies are from SCAN.

Cell: 4.6826 4.7918 4.7918 Å, 90.00 90.00 90.00°
Last column: nearest neighbours and their distance in Å.
Atoms (fractional coordinates):
S 0.5000 0.0000 0.0000  2 Ga 2.34
Al 0.5000 0.5000 0.5000  8 Cl 3.35, 4 S 3.39
Ga 0.0000 0.0000 0.0000  2 S 2.34, 4 Cl 2.40
Cl 0.0000 0.0000 0.5000  2 Ga 2.40
Cl 0.0000 0.5000 0.0000  2 Ga 2.40

* Fermi-level density of states: 0.17 states/eV/atom
* V: 108 Å³ per cell
* formation energy from raw total energies: -0.376 eV per atom

=====

# 3
Here is a crystal of AlGe2Cl relaxed with PBEsol from Alexandria. Energies are from SCAN.

Cell: 4.7085 4.7085 4.7085 Å, 60.00 60.00 60.00°
Last column: nearest neighbours and their distance in Å.
Atoms (fractional coordinates):
Ge 0.2500 0.2500 0.2500  4 Cl 2.88, 4 Al 2.88
Ge 0.7500 0.7500 0.7500  4 Cl 2.88, 4 Al 2.88
Al 0.0000 0.0000 0.0000  8 Ge 2.88
Cl 0.5000 0.5000 0.5000  8 Ge 2.88

* Fermi-level density of states: 0.59 states/eV/atom
* V: 74 Å³ per cell
* formation energy from raw total energies: 0.349 eV per atom

=====

# 4
Here is a crystal of Al2GePtCl relaxed with PBEsol from Alexandria. Energies are from SCAN.

Cell: 4.7832 4.7832 4.8032 Å, 90.00 90.00 90.00°
Last column: nearest neighbours and their distance in Å.
Atoms (fractional coordinates):
Ge 0.0000 0.0000 0.5000  2 Pt 2.40
Al 0.0000 0.5000 0.0000  2 Pt 2.39
Al 0.5000 0.0000 0.0000  2 Pt 2.39
Pt 0.0000 0.0000 0.0000  4 Al 2.39, 2 Ge 2.40
Cl 0.5000 0.5000 0.5000  4 Ge 3.38, 8 Al 3.39

* Fermi-level density of states: 0.42 states/eV/atom
* V: 110 Å³ per cell
* formation energy from raw total energies: -0.433 eV per atom

=====

# 5
Here is a crystal of AlHCl3 relaxed with PBEsol from Alexandria. Energies are from SCAN.

Cell: 4.2703 4.2703 4.2703 Å, 90.00 90.00 90.00°
Last column: nearest neighbours and their distance in Å.
Atoms (fractional coordinates):
H 0.0000 0.0000 0.0000  6 Cl 2.14
Al 0.5000 0.5000 0.5000  12 Cl 3.02
Cl 0.0000 0.5000 0.0000  2 H 2.14
Cl 0.0000 0.0000 0.5000  2 H 2.14
Cl 0.5000 0.0000 0.0000  2 H 2.14

* Fermi-level density of states: 0.21 states/eV/atom
* E_tot: -6.84 eV per atom
* V: 78 Å³ per cell

=====

# 6
Here is a crystal of LiAl2H6ClO6 relaxed with PBEsol from Alexandria. Energies are from SCAN.

Cell: 5.1011 5.1011 13.9311 Å, 90.00 90.00 120.00°
Last column: nearest neighbours and their distance in Å.
Atoms (fractional coordinates):
Al 0.6667 0.3333 0.0000  6 O 1.89
Al 0.3333 0.6667 0.5000  6 O 1.89
Al 0.3333 0.6667 0.0000  6 O 1.89
Al 0.6667 0.3333 0.5000  6 O 1.89
Cl 0.0000 0.0000 0.7500  6 H 2.21
Cl 0.0000 0.0000 0.2500  6 H 2.21
H 0.0000 0.3038 0.3633  1 O 0.98
H 0.3038 0.0000 0.3633  1 O 0.98
H 0.6962 0.6962 0.3633  1 O 0.98
H 0.0000 0.6962 0.8633  1 O 0.98
H 0.6962 0.0000 0.8633  1 O 0.98
H 0.3038 0.3038 0.8633  1 O 0.98
H 0.0000 0.3038 0.1367  1 O 0.98
H 0.6962 0.6962 0.1367  1 O 0.98
H 0.3038 0.0000 0.1367  1 O 0.98
H 0.0000 0.6962 0.6367  1 O 0.98
H 0.3038 0.3038 0.6367  1 O 0.98
H 0.6962 0.0000 0.6367  1 O 0.98
Li 0.0000 0.0000 0.0000  6 O 2.11
Li 0.0000 0.0000 0.5000  6 O 2.11
O 0.0000 0.3668 0.4301  1 H 0.98
O 0.3668 0.0000 0.4301  1 H 0.98
O 0.6332 0.6332 0.4301  1 H 0.98
O 0.0000 0.6332 0.9301  1 H 0.98
O 0.6332 0.0000 0.9301  1 H 0.98
O 0.3668 0.3668 0.9301  1 H 0.98
O 0.0000 0.3668 0.0699  1 H 0.98
O 0.6332 0.6332 0.0699  1 H 0.98
O 0.3668 0.0000 0.0699  1 H 0.98
O 0.0000 0.6332 0.5699  1 H 0.98
O 0.3668 0.3668 0.5699  1 H 0.98
O 0.6332 0.0000 0.5699  1 H 0.98

* Fermi-level density of states: 0.00 states/eV/atom
* E_tot: -7.19 eV per atom
* V: 314 Å³ per cell

=====

# 7
Here is a crystal of AlH15N5Cl3 relaxed with PBEsol from Alexandria. Energies are from SCAN.

Cell: 6.4387 10.5216 13.2871 Å, 90.00 90.00 90.00°
Last column: nearest neighbours and their distance in Å.
Atoms (fractional coordinates):
Al 0.7022 0.7500 0.5943  5 N 2.01-2.02
Al 0.7978 0.7500 0.0943  5 N 2.01-2.02
Al 0.2978 0.2500 0.4057  5 N 2.01-2.02
Al 0.2022 0.2500 0.9057  5 N 2.01-2.02
H 0.5233 0.7500 0.7699  1 N 1.03
H 0.9767 0.7500 0.2699  1 N 1.03
H 0.4767 0.2500 0.2301  1 N 1.03
H 0.0233 0.2500 0.7301  1 N 1.03
H 0.3788 0.8298 0.6879  1 N 1.04
H 0.1212 0.6702 0.1879  1 N 1.04
H 0.6212 0.3298 0.3121  1 N 1.04
H 0.8788 0.1702 0.8121  1 N 1.04
H 0.6212 0.1702 0.3121  1 N 1.04
H 0.8788 0.3298 0.8121  1 N 1.04
H 0.3788 0.6702 0.6879  1 N 1.04
H 0.1212 0.8298 0.1879  1 N 1.04
H 0.0776 0.7500 0.5044  1 N 1.04
H 0.4224 0.7500 0.0044  1 N 1.04
H 0.9224 0.2500 0.4956  1 N 1.04
H 0.5776 0.2500 0.9956  1 N 1.04
H 0.6016 0.8289 0.9393  1 N 1.04
H 0.8984 0.6711 0.4393  1 N 1.04
H 0.3984 0.3289 0.0607  1 N 1.04
H 0.1016 0.1711 0.5607  1 N 1.04
H 0.3984 0.1711 0.0607  1 N 1.04
H 0.1016 0.3289 0.5607  1 N 1.04
H 0.6016 0.6711 0.9393  1 N 1.04
H 0.8984 0.8289 0.4393  1 N 1.04
H 0.8797 0.7500 0.7754  1 N 1.03
H 0.6203 0.7500 0.2754  1 N 1.03
H 0.1203 0.2500 0.2246  1 N 1.03
H 0.3797 0.2500 0.7246  1 N 1.03
H 0.0199 0.8298 0.6932  1 N 1.04
H 0.4801 0.6702 0.1932  1 N 1.04
H 0.9801 0.3298 0.3068  1 N 1.04
H 0.5199 0.1702 0.8068  1 N 1.04
H 0.9801 0.1702 0.3068  1 N 1.04
H 0.5199 0.3298 0.8068  1 N 1.04
H 0.0199 0.6702 0.6932  1 N 1.04
H 0.4801 0.8298 0.1932  1 N 1.04
H 0.7137 0.9744 0.5164  1 N 1.04
H 0.7863 0.5256 0.0164  1 N 1.04
H 0.2863 0.4744 0.4836  1 N 1.04
H 0.2137 0.0256 0.9836  1 N 1.04
H 0.2863 0.0256 0.4836  1 N 1.04
H 0.2137 0.4744 0.9836  1 N 1.04
H 0.7137 0.5256 0.5164  1 N 1.04
H 0.7863 0.9744 0.0164  1 N 1.04
H 0.5671 0.9825 0.6185  1 N 1.03
H 0.9329 0.5175 0.1185  1 N 1.03
H 0.4329 0.4825 0.3815  1 N 1.03
H 0.0671 0.0175 0.8815  1 N 1.03
H 0.4329 0.0175 0.3815  1 N 1.03
H 0.0671 0.4825 0.8815  1 N 1.03
H 0.5671 0.5175 0.6185  1 N 1.03
H 0.9329 0.9825 0.1185  1 N 1.03
H 0.8247 0.9814 0.6286  1 N 1.04
H 0.6753 0.5186 0.1286  1 N 1.04
H 0.1753 0.4814 0.3714  1 N 1.04
H 0.3247 0.0186 0.8714  1 N 1.04
H 0.1753 0.0186 0.3714  1 N 1.04
H 0.3247 0.4814 0.8714  1 N 1.04
H 0.8247 0.5186 0.6286  1 N 1.04
H 0.6753 0.9814 0.1286  1 N 1.04
N 0.4723 0.7500 0.6967  3 H 1.03-1.04
N 0.0277 0.7500 0.1967  3 H 1.03-1.04
N 0.5277 0.2500 0.3033  3 H 1.03-1.04
N 0.9723 0.2500 0.8033  3 H 1.03-1.04
N 0.9216 0.7500 0.4852  3 H 1.04
N 0.5784 0.7500 0.9852  3 H 1.04
N 0.0784 0.2500 0.5148  3 H 1.04
N 0.4216 0.2500 0.0148  3 H 1.04
N 0.9256 0.7500 0.7011  3 H 1.03-1.04
N 0.5744 0.7500 0.2011  3 H 1.03-1.04
N 0.0744 0.2500 0.2989  3 H 1.03-1.04
N 0.4256 0.2500 0.7989  3 H 1.03-1.04
N 0.7010 0.9419 0.5899  3 H 1.03-1.04
N 0.7990 0.5581 0.0899  3 H 1.03-1.04
N 0.2990 0.4419 0.4101  3 H 1.03-1.04
N 0.2010 0.0581 0.9101  3 H 1.03-1.04
N 0.2990 0.0581 0.4101  3 H 1.03-1.04
N 0.2010 0.4419 0.9101  3 H 1.03-1.04
N 0.7010 0.5581 0.5899  3 H 1.03-1.04
N 0.7990 0.9419 0.0899  3 H 1.03-1.04
Cl 0.0534 0.7500 0.9679  1 Al 2.35, 1 H 2.42
Cl 0.4466 0.7500 0.4679  1 Al 2.35, 1 H 2.42
Cl 0.9466 0.2500 0.0321  1 Al 2.35, 1 H 2.42
Cl 0.5534 0.2500 0.5321  1 Al 2.35, 1 H 2.42
Cl 0.6932 0.9930 0.8447  6 H 2.21-2.47
Cl 0.8068 0.5070 0.3447  6 H 2.21-2.47
Cl 0.3068 0.4930 0.1553  6 H 2.21-2.47
Cl 0.1932 0.0070 0.6553  6 H 2.21-2.47
Cl 0.3068 0.0070 0.1553  6 H 2.21-2.47
Cl 0.1932 0.4930 0.6553  6 H 2.21-2.47
Cl 0.6932 0.5070 0.8447  6 H 2.21-2.47
Cl 0.8068 0.9930 0.3447  6 H 2.21-2.47

* Fermi-level density of states: 0.00 states/eV/atom
* E_tot: -6.16 eV per atom
* V: 900 Å³ per cell

=====

# 8
Here is a crystal of AlH6ClO4 relaxed with PBEsol from Alexandria. Energies are from SCAN.

Cell: 5.1399 7.1124 7.8829 Å, 116.14 108.15 91.85°
Last column: nearest neighbours and their distance in Å.
Atoms (fractional coordinates):
Al 0.3009 0.0509 0.1018  6 O 1.85-1.96
Al 0.6991 0.9491 0.8982  6 O 1.85-1.96
Cl 0.0842 0.3342 0.6685  6 H 2.11-2.27
Cl 0.9158 0.6658 0.3315  6 H 2.11-2.27
H 0.0166 0.6687 0.8453  1 O 0.98
H 0.3286 0.1765 0.8453  1 O 0.98
H 0.9834 0.3313 0.1547  1 O 0.98
H 0.6714 0.8235 0.1547  1 O 0.98
H 0.6347 0.4203 0.3014  1 O 0.99
H 0.1667 0.8811 0.3014  1 O 0.99
H 0.3653 0.5797 0.6986  1 O 0.99
H 0.8333 0.1189 0.6986  1 O 0.99
H 0.7074 0.3039 0.4355  1 O 1.00
H 0.2281 0.1316 0.4355  1 O 1.00
H 0.2926 0.6961 0.5645  1 O 1.00
H 0.7719 0.8684 0.5645  1 O 1.00
O 0.0036 0.8175 0.9222  1 H 0.98
O 0.4186 0.1046 0.9222  1 H 0.98
O 0.9964 0.1825 0.0778  1 H 0.98
O 0.5814 0.8954 0.0778  1 H 0.98
O 0.5506 0.3144 0.3294  2 H 0.99-1.00
O 0.2789 0.0150 0.3294  2 H 0.99-1.00
O 0.4494 0.6856 0.6706  2 H 0.99-1.00
O 0.7211 0.9850 0.6706  2 H 0.99-1.00

* Fermi-level density of states: 0.00 states/eV/atom
* E_tot: -6.64 eV per atom
* V: 241 Å³ per cell